DFT (PBE) results for crystalline IrPbBr2 at its relaxed geometry.

Results
As for the uncorrected formation energy: 0.12 eV/atom. The total energy comes out at -3.86 eV/atom. For the energy above the most stable polymorph in this dataset, the calculation gives 0.0796 eV/atom. The density of states at the Fermi level comes out at 3.41 states/eV per cell. The total moment comes out at 0.00 μB per atom.

Cell: 6.4641 6.4641 5.4292 Å, 65.06 65.06 32.57°
Last column: nearest neighbours and their distance in Å.
Sites, in units of the cell vectors:
Br 0.0922 0.0922 0.9075  2 Ir 2.53
Br 0.4078 0.4078 0.5925  2 Ir 2.53
Pb 0.2500 0.2500 0.2500  4 Br 3.23-3.24, 4 Ir 3.26
Ir 0.7500 0.7500 0.7500  4 Br 2.53